No. 1
{"formula": "Tb4SmTm10", "functional": "PBE-GGA", "state": "relaxed", "cell": [[-4.853, 4.853, 5.384], [4.853, -4.853, 5.384], [4.853, 4.853, -5.384]], "species": ["Tb", "Tb", "Tb", "Tb", "Sm", "Tm", "Tm", "Tm", "Tm", "Tm", "Tm", "Tm", "Tm", "Tm", "Tm"], "frac_coords": [[0.057, 0.706, 0.763], [0.294, 0.057, 0.352], [0.706, 0.943, 0.648], [0.943, 0.294, 0.237], [0.500, 0.500, 0.000], [0.112, 0.211, 0.658], [0.211, 0.553, 0.099], [0.250, 0.750, 0.500], [0.447, 0.546, 0.658], [0.454, 0.112, 0.901], [0.546, 0.888, 0.099], [0.553, 0.454, 0.342], [0.750, 0.250, 0.500], [0.789, 0.447, 0.901], [0.888, 0.789, 0.342]], "m_tot_mub_per_cell": 0.00, "energy_ev_per_fu": -60.8}


No. 2
{"formula": "Fe2CuSe", "functional": "PBE-GGA", "state": "relaxed", "cell": [[3.721, 0.000, 0.000], [0.000, 3.721, 0.000], [0.000, 0.000, 3.880]], "species": ["Fe", "Fe", "Cu", "Se"], "frac_coords": [[0.000, 0.500, 0.000], [0.500, 0.000, 0.000], [0.000, 0.000, 0.500], [0.500, 0.500, 0.500]], "m_tot_mub_per_cell": 5.79, "formation_energy_uncorrected_ev_per_atom": 0.25}


No. 3
{"formula": "SrLiSi2", "functional": "PBE-GGA", "state": "relaxed", "cell": [[0.000, 3.497, 3.497], [3.497, 0.000, 3.497], [3.497, 3.497, 0.000]], "species": ["Sr", "Li", "Si", "Si"], "frac_coords": [[0.000, 0.000, 0.000], [0.250, 0.250, 0.250], [0.500, 0.500, 0.500], [0.750, 0.750, 0.750]], "m_tot_mub_per_cell": 0.00, "de_polymorph_mev_per_atom": 555, "formation_energy_uncorrected_ev_per_atom": 0.14}


No. 4
{"formula": "AcLa2Sm3", "functional": "PBE-GGA", "state": "relaxed", "cell": [[5.686, -5.612, 0.000], [5.686, 5.612, 0.000], [0.000, 0.000, 6.893]], "species": ["Ac", "Ac", "La", "La", "La", "La", "Sm", "Sm", "Sm", "Sm", "Sm", "Sm"], "frac_coords": [[0.105, 0.895, 0.750], [0.895, 0.105, 0.250], [0.101, 0.600, 0.250], [0.400, 0.899, 0.250], [0.600, 0.101, 0.750], [0.899, 0.400, 0.750], [0.256, 0.256, 0.000], [0.256, 0.256, 0.500], [0.417, 0.583, 0.750], [0.583, 0.417, 0.250], [0.744, 0.744, 0.000], [0.744, 0.744, 0.500]], "m_tot_mub_per_cell": 0.00, "de_polymorph_mev_per_atom": 136}


No. 5
{"formula": "LaReSb2", "functional": "PBE-GGA", "state": "relaxed", "cell": [[3.991, -2.306, 0.000], [3.991, 2.306, 0.000], [-2.669, 0.000, 5.292]], "species": ["La", "Re", "Sb", "Sb"], "frac_coords": [[0.000, 0.000, 0.000], [0.500, 0.500, 0.500], [0.221, 0.221, 0.663], [0.779, 0.779, 0.337]], "m_tot_mub_per_cell": 0.00, "de_polymorph_mev_per_atom": 0, "formation_energy_uncorrected_ev_per_atom": -0.26}


No. 6
{"formula": "KBeHg2Bi", "functional": "PBE-GGA", "state": "relaxed", "cell": [[5.106, 0.000, 0.000], [0.000, 5.106, 0.000], [0.000, 0.000, 5.276]], "species": ["K", "Be", "Hg", "Hg", "Bi"], "frac_coords": [[0.000, 0.000, 0.000], [0.500, 0.500, 0.500], [0.000, 0.500, 0.500], [0.500, 0.000, 0.500], [0.500, 0.500, 0.000]], "m_tot_mub_per_cell": 0.00, "energy_ev_per_fu": -9.1}


Which formula does entry 6 have? KBeHg2Bi


What did the second record say?
{"formula": "Fe2CuSe", "functional": "PBE-GGA", "state": "relaxed", "cell": [[3.721, 0.000, 0.000], [0.000, 3.721, 0.000], [0.000, 0.000, 3.880]], "species": ["Fe", "Fe", "Cu", "Se"], "frac_coords": [[0.000, 0.500, 0.000], [0.500, 0.000, 0.000], [0.000, 0.000, 0.500], [0.500, 0.500, 0.500]], "m_tot_mub_per_cell": 5.79, "formation_energy_uncorrected_ev_per_atom": 0.25}


Which formula does entry 4 have? AcLa2Sm3